1.
An optimized crystal structure of FeTcGe2. Source: Alexandria via LeMat-Bulk, functional PBE.

Calculated values
- Excess energy over the best structure of this formula in the dataset: 0.008 eV per atom
- Spin magnetization: 0.6 μB per formula unit
- Energy: -7.01 eV/atom
- Energy relative to the elements: 0.0049 eV per atom

The structure in CIF format:
```
data_FeTcGe2
_cell_length_a 4.212
_cell_length_b 4.212
_cell_length_c 3.034
_cell_angle_alpha 90.00
_cell_angle_beta 90.00
_cell_angle_gamma 90.00
_space_group_name_H-M_alt 'P 4/m m m'
_space_group_IT_number 123
_space_group_name_Hall '-P 4 2'
loop_
_atom_site_label
_atom_site_fract_x
_atom_site_fract_y
_atom_site_fract_z
Fe1 0.000 0.000 0.000
Tc1 0.500 0.500 0.000
Ge1 0.000 0.500 0.500
```

2.
An optimized crystal structure of Fe2TcGe. Source: Alexandria via LeMat-Bulk, functional PBE.

Calculated values
- Spin magnetization: 2.4 μB per formula unit
- Energy: -7.85 eV/atom
- Energy relative to the elements: 0.1304 eV per atom

The structure in CIF format:
```
data_Fe2TcGe
_cell_length_a 3.9424
_cell_length_b 3.9424
_cell_length_c 12.4090
_cell_angle_alpha 90.00
_cell_angle_beta 90.00
_cell_angle_gamma 120.00
_space_group_name_H-M_alt 'R 3 m'
_space_group_IT_number 160
_space_group_name_Hall 'R 3 -2"'
loop_
_atom_site_label
_atom_site_fract_x
_atom_site_fract_y
_atom_site_fract_z
Fe1 0.0000 0.0000 0.0000
Fe2 0.0000 0.0000 0.1854
Tc1 0.0000 0.0000 0.4048
Ge1 0.0000 0.0000 0.6089
```

3.
An optimized crystal structure of Fe2TcGe. Source: Alexandria via LeMat-Bulk, functional PBE.

Calculated values
- Spin magnetization: 0.0 μB per formula unit
- Energy: -7.93 eV/atom
- Energy relative to the elements: 0.0457 eV per atom

The structure in CIF format:
```
data_Fe2TcGe
_cell_length_a 2.756
_cell_length_b 2.756
_cell_length_c 6.396
_cell_angle_alpha 90.00
_cell_angle_beta 90.00
_cell_angle_gamma 90.00
_space_group_name_H-M_alt 'P 4/m m m'
_space_group_IT_number 123
_space_group_name_Hall '-P 4 2'
loop_
_atom_site_label
_atom_site_fract_x
_atom_site_fract_y
_atom_site_fract_z
Fe1 0.000 0.000 0.231
Tc1 0.500 0.500 0.500
Ge1 0.500 0.500 0.000
```